# LiLa2ZnO5

Crystalline LiLa2ZnO5 at its relaxed geometry (PBE, Alexandria via LeMat-Bulk).

## Properties
**Crystal system**: tetragonal
**E_form (uncorrected)**: -2.25 eV per atom
**Calculated density**: 5.21 g cm⁻³
**Total magnetization**: 1.0 μB per formula unit
**Total DFT energy (no corrections)**: -6.458 eV per atom
**Calculated volume**: 15.246 Å³/atom

abc: 5.8172 6.8685 6.8685
angles: 90.00 90.00 90.00
With the nearest neighbours (Å) after each atom.
Positions (direct):
Li1 0.0000 0.5000 0.5000  10 O 2.91-3.02
Li2 0.0000 0.0000 0.0000  10 O 2.91-3.02
La1 0.5000 0.6788 0.1788  4 O 2.35-2.52
La2 0.5000 0.1788 0.3212  4 O 2.35-2.52
La3 0.5000 0.8212 0.6788  4 O 2.35-2.52
La4 0.5000 0.3212 0.8212  4 O 2.35-2.52
Zn1 0.0000 0.0000 0.5000  4 O 1.93
Zn2 0.0000 0.5000 0.0000  4 O 1.93
O1 0.5000 0.5000 0.5000  4 La 2.52
O2 0.5000 0.0000 0.0000  4 La 2.52
O3 0.2420 0.1353 0.6353  1 Zn 1.93
O4 0.2420 0.8647 0.3647  1 Zn 1.93
O5 0.2420 0.3647 0.1353  1 Zn 1.93
O6 0.2420 0.6353 0.8647  1 Zn 1.93
O7 0.7580 0.1353 0.6353  1 Zn 1.93
O8 0.7580 0.6353 0.8647  1 Zn 1.93
O9 0.7580 0.8647 0.3647  1 Zn 1.93
O10 0.7580 0.3647 0.1353  1 Zn 1.93